DFT (PBE) results for crystalline Cs2ScTiCl6 at its relaxed geometry.

abc: 7.3135 7.3135 7.3127
angles: 60.00 60.00 90.00
With the nearest neighbours (Å) after each atom.
Atoms (fractional coordinates):
Cl1 0.7490 0.2510 0.0000  1 Sc 2.58, 1 Ti 2.60
Cl2 0.2510 0.2510 0.0000  1 Sc 2.58, 1 Ti 2.60
Cl3 0.7490 0.7490 0.0000  1 Sc 2.58, 1 Ti 2.60
Cl4 0.2510 0.7490 0.0000  1 Sc 2.58, 1 Ti 2.60
Cl5 0.7491 0.7491 0.5018  1 Sc 2.58, 1 Ti 2.59
Cl6 0.2509 0.2509 0.4982  1 Sc 2.58, 1 Ti 2.59
Cs1 0.7500 0.2500 0.5000  12 Cl 3.66
Cs2 0.2500 0.7500 0.5000  12 Cl 3.66
Ti1 0.0000 0.0000 0.0000  6 Cl 2.59-2.60
Sc1 0.5000 0.5000 0.0000  6 Cl 2.58

Raw total energy = -44.84 eV per cell
V = 27.654 Å³/atom
Formation energy (no corrections) = -172.0 kJ/mol of atoms
Symmetry = Fm-3m, No. 225